No. 1
8
Lattice="4.249 0.000 0.000 0.000 4.249 0.000 0.000 0.000 8.069" Properties=species:S:1:pos:R:3 comment="MnAg2Hg, relaxed, DFT PBE" e_form_mev_per_atom=189 energy_ry_per_atom=-0.26495 spacegroup="I-4m2 (119)" pbc="T T T"
Mn 0.000 0.000 0.000
Mn 2.125 2.125 4.035
Ag 0.000 0.000 4.035
Ag 0.000 2.125 2.017
Ag 2.125 0.000 6.052
Ag 2.125 2.125 0.000
Hg 0.000 2.125 6.052
Hg 2.125 0.000 2.017



No. 2
5
Lattice="6.556 0.000 0.000 0.000 6.556 0.000 0.000 0.000 4.309" Properties=species:S:1:pos:R:3 comment="MgZrI2Cl, relaxed, DFT PBE" raw_formation_energy_ev_per_atom=0.245 energy_ry_per_atom=-0.20382 spacegroup="P4/mmm (123)" pbc="T T T"
Mg 0.000 0.000 0.000
Zr 3.278 3.278 0.000
I 0.000 3.278 2.154
I 3.278 0.000 2.154
Cl 0.000 0.000 2.154



No. 3
14
Lattice="5.740 0.000 0.000 0.000 5.740 0.000 0.000 0.000 5.740" Properties=species:S:1:pos:R:3 comment="Hf3TlH3, relaxed, DFT PBE" energy_ry_per_atom=-0.46401 spacegroup="Pm-3n (223)" pbc="T T T"
Hf 0.000 1.435 2.870
Hf 0.000 4.305 2.870
Hf 1.435 2.870 0.000
Hf 2.870 0.000 1.435
Hf 2.870 0.000 4.305
Hf 4.305 2.870 0.000
Tl 0.000 0.000 0.000
Tl 2.870 2.870 2.870
H 0.000 2.870 1.435
H 0.000 2.870 4.305
H 1.435 0.000 2.870
H 2.870 1.435 0.000
H 2.870 4.305 0.000
H 4.305 0.000 2.870



No. 4
14
Lattice="-3.711 3.711 3.711 3.711 -3.711 3.711 3.711 3.711 -3.711" Properties=species:S:1:pos:R:3 comment="Ti4P3, relaxed, DFT PBE" e_form_mev_per_atom=-1150 energy_ry_per_atom=-0.58654 spacegroup="I-43d (220)" pbc="T T T"
Ti 3.200 0.511 -0.511
Ti 5.055 -1.345 1.345
Ti 0.511 0.511 0.511
Ti 0.511 -0.511 3.200
Ti -0.511 3.200 0.511
Ti 1.345 5.055 -1.345
Ti 2.366 2.366 2.366
Ti -1.345 1.345 5.055
P 5.566 0.928 0.000
P 2.783 0.000 1.855
P 1.855 2.783 0.000
P 0.000 1.855 2.783
P 0.928 0.000 5.566
P 0.000 5.566 0.928